[1]
A PBEsol-optimized structure of Zr2AgGe2, computed with meta-GGA SCAN.

Properties
- Total energy: -134.153 eV per formula unit
- ΔE_f: -3.21 eV per formula unit
- Crystal system: tetragonal
- Space group: P4/mbm, No. 127

Structure (POSCAR):
```
Zr2AgGe2
1.0
6.825 0.000 0.000
0.000 6.825 0.000
0.000 0.000 3.868
Zr Ag Ge
4 2 4
Direct
0.177 0.323 0.000 Zr
0.323 0.823 0.000 Zr
0.677 0.177 0.000 Zr
0.823 0.677 0.000 Zr
0.000 0.000 0.500 Ag
0.500 0.500 0.500 Ag
0.127 0.627 0.500 Ge
0.373 0.127 0.500 Ge
0.627 0.873 0.500 Ge
0.873 0.373 0.500 Ge
```



[2]
A PBEsol-optimized structure of CaPPt, computed with meta-GGA SCAN.

Properties
- Total energy: -94.243 eV per formula unit
- ΔE_f: -3.99 eV per formula unit
- Crystal system: orthorhombic
- Space group: Pmc2_1, No. 26

Structure (POSCAR):
```
CaPPt
1.0
4.331 0.000 0.000
0.000 8.273 0.000
0.000 0.000 6.470
Ca P Pt
4 4 4
Direct
0.000 0.087 0.000 Ca
0.000 0.373 0.435 Ca
0.000 0.627 0.935 Ca
0.000 0.913 0.500 Ca
0.500 0.116 0.317 P
0.500 0.429 0.739 P
0.500 0.571 0.239 P
0.500 0.884 0.817 P
0.500 0.157 0.685 Pt
0.500 0.330 0.068 Pt
0.500 0.670 0.568 Pt
0.500 0.843 0.185 Pt
```



[3]
A PBEsol-optimized structure of CrCu2Ag, computed with meta-GGA SCAN.

Properties
- Relative energy among the computed polymorphs: 4.6 meV/atom
- Total energy: -79.394 eV per formula unit
- ΔE_f: 0.76 eV per formula unit
- Crystal system: orthorhombic
- Space group: Pmmm, No. 47

Structure (POSCAR):
```
CrCu2Ag
1.0
2.992 0.000 0.000
0.000 3.080 0.000
0.000 0.000 5.800
Cr Cu Ag
1 2 1
Direct
0.000 0.000 0.000 Cr
0.500 0.500 0.234 Cu
0.500 0.500 0.766 Cu
0.000 0.000 0.500 Ag
```



[4]
A PBEsol-optimized structure of KRb2W2, computed with meta-GGA SCAN.

Properties
- Total energy: -180.068 eV per formula unit
- ΔE_f: 9.12 eV per formula unit
- Crystal system: tetragonal
- Space group: I4/mmm, No. 139

Structure (POSCAR):
```
KRb2W2
1.0
-2.825 2.825 7.050
2.825 -2.825 7.050
2.825 2.825 -7.050
K Rb W
1 2 2
Direct
0.000 0.000 0.000 K
0.250 0.750 0.500 Rb
0.750 0.250 0.500 Rb
0.426 0.426 0.000 W
0.574 0.574 0.000 W
```



- What is the formula in the fourth record?
  KRb2W2



- Which formula does entry 3 have?
  CrCu2Ag



Copy entry 4 word for word.
A PBEsol-optimized structure of KRb2W2, computed with meta-GGA SCAN.

Properties
- Total energy: -180.068 eV per formula unit
- ΔE_f: 9.12 eV per formula unit
- Crystal system: tetragonal
- Space group: I4/mmm, No. 139

Structure (POSCAR):
```
KRb2W2
1.0
-2.825 2.825 7.050
2.825 -2.825 7.050
2.825 2.825 -7.050
K Rb W
1 2 2
Direct
0.000 0.000 0.000 K
0.250 0.750 0.500 Rb
0.750 0.250 0.500 Rb
0.426 0.426 0.000 W
0.574 0.574 0.000 W
```



- Which value of ΔE_f does entry 2 give?
  -3.99 eV per formula unit